1.
Below is a relaxed TlZn2Cd6 crystal, with properties calculated at the PBE level.

Cell: 3.4039 7.7626 10.0927 Å, 112.62 120.37 90.00°
Last column: nearest neighbours and their distance in Å.
Sites, in units of the cell vectors:
1 Zn 0.0040 0.3347 0.6695  8 Cd 2.91-2.95
2 Zn 0.9960 0.6653 0.3305  8 Cd 2.91-2.95
3 Cd 0.4811 0.0227 0.6544  3 Zn 2.91-2.95, 3 Cd 3.03-3.07, 1 Tl 3.09
4 Cd 0.4811 0.6318 0.6544  3 Zn 2.91-2.95, 3 Cd 3.03-3.07, 1 Tl 3.09
5 Cd 0.5189 0.3682 0.3456  3 Zn 2.91-2.95, 3 Cd 3.03-3.07, 1 Tl 3.09
6 Cd 0.5000 0.6783 0.0000  1 Cd 2.77, 2 Zn 2.92, 2 Tl 3.02
7 Cd 0.5000 0.3217 0.0000  1 Cd 2.77, 2 Zn 2.92, 2 Tl 3.02
8 Cd 0.5189 0.9773 0.3456  3 Zn 2.91-2.95, 3 Cd 3.03-3.07, 1 Tl 3.09
9 Tl 0.0000 0.0000 0.0000  8 Cd 3.02-3.09

Properties
density of states at the Fermi level = 1.37 states/eV per cell
formation energy from the elements = 0.0852 eV/atom

2.
Below is a relaxed Tl2ZnCd crystal, with properties calculated at the PBE level.

Cell: 3.3727 3.3727 9.0057 Å, 90.00 90.00 90.00°
Last column: nearest neighbours and their distance in Å.
Sites, in units of the cell vectors:
1 Tl 0.0000 0.0000 0.0183  4 Zn 3.17, 4 Tl 3.37, 4 Cd 3.40
2 Tl 0.0000 0.0000 0.4817  4 Zn 3.17, 4 Tl 3.37, 4 Cd 3.40
3 Cd 0.5000 0.5000 0.7500  4 Cd 3.37, 8 Tl 3.40
4 Zn 0.5000 0.5000 0.2500  8 Tl 3.17, 4 Zn 3.37

Properties
density of states at the Fermi level = 1.57 states/eV per cell
formation energy from the elements = 0.1315 eV/atom
energy above the lowest structure with this stoichiometry = 0.052 eV/atom

3.
Below is a relaxed TlZn3Cd crystal, with properties calculated at the PBE level.

Cell: 5.0951 5.0951 5.0951 Å, 90.00 90.00 90.00°
Last column: nearest neighbours and their distance in Å.
Sites, in units of the cell vectors:
1 Zn 0.0000 0.5000 0.0000  2 Cd 2.55
2 Zn 0.5000 0.0000 0.0000  2 Cd 2.55
3 Zn 0.0000 0.0000 0.5000  2 Cd 2.55
4 Cd 0.0000 0.0000 0.0000  6 Zn 2.55
5 Tl 0.5000 0.5000 0.5000  12 Zn 3.60

Properties
density of states at the Fermi level = 1.75 states/eV per cell
formation energy from the elements = 0.3763 eV/atom
energy above the lowest structure with this stoichiometry = 0.000 eV/atom